# 1
VASP calculation (PBE) on crystalline Tb3Sm3ScSe8 at its relaxed geometry.

Cell lengths 8.1954, 8.1958, 8.2261 Å; angles 119.88, 90.00, 120.00 degrees
With the nearest neighbours (Å) after each atom.
Element x y z (fractional)
Tb 0.5000 0.0000 0.5000  6 Se 2.88
Tb 0.5000 0.5000 0.5000  6 Se 2.88
Tb 0.0000 0.5000 0.5000  6 Se 2.88
Sm 0.0000 0.0000 0.0000  6 Se 2.93
Sm 0.0000 0.5000 0.0000  6 Se 2.93
Sm 0.5000 0.5000 0.0000  6 Se 2.93
Sc 0.0000 0.0000 0.5000  6 Se 2.82
Se 0.2522 0.5045 0.2566  3 Tb 2.88, 3 Sm 2.93
Se 0.7478 0.4955 0.7434  3 Tb 2.88, 3 Sm 2.93
Se 0.7570 0.5140 0.2616  1 Sc 2.82, 2 Tb 2.88, 2 Sm 2.93
Se 0.2430 0.4860 0.7384  1 Sc 2.82, 2 Tb 2.88, 2 Sm 2.93
Se 0.7572 0.0044 0.2612  1 Sc 2.82, 2 Tb 2.88, 2 Sm 2.93
Se 0.2428 0.9956 0.7388  1 Sc 2.82, 2 Tb 2.88, 2 Sm 2.93
Se 0.2471 0.0044 0.2612  1 Sc 2.82, 2 Tb 2.88, 2 Sm 2.93
Se 0.7529 0.9956 0.7388  1 Sc 2.82, 2 Tb 2.88, 2 Sm 2.93

V ... 26.09 A^3/atom
Energy relative to the elements, uncorrected ... -1.832 eV per atom
Final energy ... -5.982 eV/atom
M_tot ... 0.0 μB per cell

---

# 2
VASP calculation (PBE) on crystalline SnMoH2 at its relaxed geometry.

Cell lengths 5.8163, 5.8163, 4.9491 Å; angles 54.01, 54.01, 90.00 degrees
With the nearest neighbours (Å) after each atom.
Element x y z (fractional)
H 0.5273 0.1250 0.2500  2 Mo 1.84
H 0.2227 0.6250 0.2500  2 Mo 1.84
H 0.3750 0.4727 0.7500  2 Mo 1.84
H 0.8750 0.7773 0.7500  2 Mo 1.84
Mo 0.5000 0.5000 0.0000  4 H 1.84
Mo 0.2500 0.7500 0.5000  4 H 1.84
Sn 0.0000 0.0000 0.0000  8 H 2.58-2.68, 2 Mo 2.75
Sn 0.7500 0.2500 0.5000  8 H 2.58-2.68, 2 Mo 2.75

V ... 11.64 A^3/atom
Final energy ... -5.116 eV/atom
Energy above the most stable polymorph in this dataset ... 0.0 meV/atom
M_tot ... 0.0 μB per cell

---

# 3
VASP calculation (PBE) on crystalline Cu2HgSe2 at its relaxed geometry.

Cell lengths 10.1722, 6.6074, 8.1235 Å; angles 68.98, 51.20, 39.64 degrees
With the nearest neighbours (Å) after each atom.
Element x y z (fractional)
Cu 0.3237 0.8180 0.0542  2 Se 2.32-2.33
Cu 0.8050 0.3187 0.5549  2 Se 2.31-2.33
Cu 0.6763 0.1820 0.9458  2 Se 2.32-2.33
Cu 0.1950 0.6813 0.4451  2 Se 2.31-2.33
Hg 0.8905 0.7495 0.2499  2 Se 2.56
Hg 0.1095 0.2505 0.7501  2 Se 2.56
Se 0.6306 0.3363 0.2076  2 Cu 2.32-2.33, 1 Hg 2.56
Se 0.8238 0.8372 0.7079  2 Cu 2.31-2.33, 1 Hg 2.56
Se 0.1762 0.1628 0.2921  2 Cu 2.31-2.33, 1 Hg 2.56
Se 0.3694 0.6637 0.7924  2 Cu 2.32-2.33, 1 Hg 2.56

V ... 26.29 A^3/atom
Energy relative to the elements, uncorrected ... -0.081 eV per atom
Final energy ... -3.174 eV/atom
Energy above the most stable polymorph in this dataset ... 0.0 meV/atom
M_tot ... 0.0 μB per cell

---

# 4
VASP calculation (PBE) on crystalline Tl3Br at its relaxed geometry.

Cell lengths 6.4417, 6.4417, 6.4417 Å; angles 90.00, 90.00, 90.00 degrees
With the nearest neighbours (Å) after each atom.
Element x y z (fractional)
Tl 0.7500 0.5000 0.0000  2 Tl 3.22, 4 Br 3.60
Tl 0.2500 0.5000 0.0000  2 Tl 3.22, 4 Br 3.60
Tl 0.0000 0.7500 0.5000  2 Tl 3.22, 4 Br 3.60
Tl 0.0000 0.2500 0.5000  2 Tl 3.22, 4 Br 3.60
Tl 0.5000 0.0000 0.2500  2 Tl 3.22, 4 Br 3.60
Tl 0.5000 0.0000 0.7500  2 Tl 3.22, 4 Br 3.60
Br 0.0000 0.0000 0.0000  12 Tl 3.60
Br 0.5000 0.5000 0.5000  12 Tl 3.60

V ... 33.41 A^3/atom
Energy relative to the elements, uncorrected ... -0.216 eV per atom
Final energy ... -2.409 eV/atom
Energy above the most stable polymorph in this dataset ... 83.8 meV/atom
M_tot ... 0.0 μB per cell

---

# 5
VASP calculation (PBE) on crystalline Y2Hf2Ag at its relaxed geometry.

Cell lengths 7.2508, 7.2508, 4.9767 Å; angles 90.00, 90.00, 90.00 degrees
With the nearest neighbours (Å) after each atom.
Element x y z (fractional)
Y 0.1607 0.6607 0.5000  6 Hf 3.22-3.31, 1 Y 3.30
Y 0.6607 0.8393 0.5000  6 Hf 3.22-3.31, 1 Y 3.30
Y 0.8393 0.3393 0.5000  6 Hf 3.22-3.31, 1 Y 3.30
Y 0.3393 0.1607 0.5000  6 Hf 3.22-3.31, 1 Y 3.30
Hf 0.3599 0.8599 0.0000  2 Ag 2.80, 1 Hf 2.87
Hf 0.8599 0.6401 0.0000  2 Ag 2.80, 1 Hf 2.87
Hf 0.6401 0.1401 0.0000  2 Ag 2.80, 1 Hf 2.87
Hf 0.1401 0.3599 0.0000  2 Ag 2.80, 1 Hf 2.87
Ag 0.0000 0.0000 0.0000  4 Hf 2.80
Ag 0.5000 0.5000 0.0000  4 Hf 2.80

V ... 26.16 A^3/atom
Final energy ... -6.916 eV/atom
Formation energy ... 0.22 eV/atom
M_tot ... 0.0 μB per cell

---

# 6
VASP calculation (PBE) on crystalline Pm3Be4Pt4 at its relaxed geometry.

Cell lengths 3.9911, 4.0559, 12.4071 Å; angles 99.41, 99.26, 90.00 degrees
With the nearest neighbours (Å) after each atom.
Element x y z (fractional)
Pm 0.3527 0.8527 0.7055  8 Pt 3.08-3.21, 6 Be 3.13
Pm 0.6473 0.1473 0.2945  8 Pt 3.08-3.21, 6 Be 3.13
Pm 0.0000 0.0000 0.0000  8 Be 3.08, 4 Pt 3.13
Be 0.7991 0.2991 0.5982  5 Pt 2.32-2.46
Be 0.4515 0.4515 0.9030  2 Pt 2.34, 1 Be 2.34
Be 0.5485 0.5485 0.0970  2 Pt 2.34, 1 Be 2.34
Be 0.2009 0.7009 0.4018  5 Pt 2.32-2.46
Pt 0.2497 0.2497 0.4995  4 Be 2.32-2.35
Pt 0.0989 0.5989 0.1979  3 Be 2.34-2.46
Pt 0.9011 0.4011 0.8021  3 Be 2.34-2.46
Pt 0.7503 0.7503 0.5005  4 Be 2.32-2.35

V ... 17.77 A^3/atom
Final energy ... -5.648 eV/atom
Formation energy ... -0.80 eV/atom
M_tot ... 0.0 μB per cell

---

# 7
VASP calculation (PBE) on crystalline La3YPt8 at its relaxed geometry.

Cell lengths 5.5281, 5.5281, 9.5819 Å; angles 73.23, 73.23, 60.00 degrees
With the nearest neighbours (Å) after each atom.
Element x y z (fractional)
La 0.3747 0.3747 0.8760  12 Pt 3.24-3.26, 4 La 3.39-3.41
La 0.9995 0.9995 0.0014  12 Pt 3.24-3.28, 1 Y 3.38, 3 La 3.39
La 0.5005 0.5005 0.4985  12 Pt 3.20-3.24, 3 Y 3.38, 1 La 3.41
Y 0.8750 0.8750 0.3750  12 Pt 3.21-3.24, 4 La 3.38
Pt 0.9358 0.4368 0.1907  6 Pt 2.74-2.79
Pt 0.4402 0.9377 0.6843  6 Pt 2.75-2.78
Pt 0.4368 0.4368 0.1907  6 Pt 2.74-2.79
Pt 0.9377 0.9377 0.6843  6 Pt 2.75-2.78
Pt 0.1877 0.1877 0.4369  6 Pt 2.74-2.75
Pt 0.6875 0.6875 0.9374  6 Pt 2.78-2.79
Pt 0.4368 0.9358 0.1907  6 Pt 2.74-2.79
Pt 0.9377 0.4402 0.6843  6 Pt 2.75-2.78

V ... 19.93 A^3/atom
Final energy ... -6.895 eV/atom
Formation energy ... -1.10 eV/atom
M_tot ... 0.0 μB per cell

---

# 8
VASP calculation (PBE) on crystalline CeH6Ir at its relaxed geometry.

Cell lengths 4.5953, 4.5953, 4.7260 Å; angles 60.91, 60.91, 60.00 degrees
With the nearest neighbours (Å) after each atom.
Element x y z (fractional)
Ce 0.5000 0.5000 0.5000  12 H 2.53
H 0.9009 0.9009 0.7681  1 Ir 1.67
H 0.4302 0.9009 0.7681  1 Ir 1.67
H 0.0991 0.5698 0.2319  1 Ir 1.67
H 0.5698 0.0991 0.2319  1 Ir 1.67
H 0.0991 0.0991 0.2319  1 Ir 1.67
H 0.9009 0.4302 0.7681  1 Ir 1.67
Ir 0.0000 0.0000 0.0000  6 H 1.67

V ... 8.94 A^3/atom
Final energy ... -4.813 eV/atom
M_tot ... 1.0 μB per cell

---

# 9
VASP calculation (PBE) on crystalline La2ZnSn4Rh3 at its relaxed geometry.

Cell lengths 4.5553, 4.5553, 10.8655 Å; angles 90.00, 90.00, 90.00 degrees
With the nearest neighbours (Å) after each atom.
Element x y z (fractional)
La 0.5000 0.0000 0.2499  8 Sn 3.46-3.54, 6 Rh 3.49-3.55, 2 Zn 3.55
La 0.0000 0.5000 0.7501  8 Sn 3.46-3.54, 6 Rh 3.49-3.55, 2 Zn 3.55
Zn 0.5000 0.5000 0.5000  4 Sn 2.70
Sn 0.5000 0.5000 0.0000  4 Rh 2.66
Sn 0.0000 0.0000 0.0000  4 Rh 2.66
Sn 0.5000 0.0000 0.6339  3 Rh 2.59-2.70, 2 Zn 2.70
Sn 0.0000 0.5000 0.3661  3 Rh 2.59-2.70, 2 Zn 2.70
Rh 0.0000 0.0000 0.5000  4 Sn 2.70
Rh 0.5000 0.0000 0.8727  5 Sn 2.59-2.66
Rh 0.0000 0.5000 0.1273  5 Sn 2.59-2.66

V ... 22.55 A^3/atom
Final energy ... -5.600 eV/atom
Formation energy ... -0.68 eV/atom
M_tot ... 0.0 μB per cell

---

# 10
VASP calculation (PBE) on crystalline La2GeOsO at its relaxed geometry.

Cell lengths 4.9580, 4.2259, 4.9580 Å; angles 90.00, 90.00, 90.00 degrees
With the nearest neighbours (Å) after each atom.
Element x y z (fractional)
Ge 0.0000 0.5000 0.0000  2 O 2.11
Os 0.5000 0.5000 0.5000  8 La 3.26, 4 Ge 3.51
O 0.0000 0.0000 0.0000  2 Ge 2.11
La 0.0000 0.0000 0.5000  2 O 2.48
La 0.5000 0.0000 0.0000  2 O 2.48

V ... 20.78 A^3/atom
Energy relative to the elements, uncorrected ... -0.822 eV per atom
Final energy ... -6.954 eV/atom
M_tot ... 0.0 μB per cell

---

# 11
VASP calculation (PBE) on crystalline Ho6Tl2Ga at its relaxed geometry.

Cell lengths 5.0792, 7.1951, 8.8125 Å; angles 114.09, 106.74, 90.00 degrees
With the nearest neighbours (Å) after each atom.
Element x y z (fractional)
Ho 0.1614 0.4052 0.3233  1 Ga 3.03, 3 Tl 3.14-3.16
Ho 0.8386 0.0819 0.6767  1 Ga 3.03, 3 Tl 3.14-3.16
Ho 0.8386 0.5948 0.6767  1 Ga 3.03, 3 Tl 3.14-3.16
Ho 0.5000 0.2374 0.0000  2 Ga 3.06, 2 Tl 3.16, 1 Ho 3.42
Ho 0.1614 0.9181 0.3233  1 Ga 3.03, 3 Tl 3.14-3.16
Ho 0.5000 0.7626 0.0000  2 Ga 3.06, 2 Tl 3.16, 1 Ho 3.42
Tl 0.6657 0.6660 0.3320  8 Ho 3.14-3.16
Tl 0.3343 0.3340 0.6680  8 Ho 3.14-3.16
Ga 0.0000 0.0000 0.0000  8 Ho 3.03-3.06

V ... 31.00 A^3/atom
Final energy ... -4.019 eV/atom
Formation energy ... -0.11 eV/atom
M_tot ... 0.0 μB per cell

---

# 12
VASP calculation (PBE) on crystalline Li4SnH at its relaxed geometry.

Cell lengths 3.5549, 5.3621, 5.3610 Å; angles 83.69, 70.64, 70.65 degrees
With the nearest neighbours (Å) after each atom.
Element x y z (fractional)
Li 0.7599 0.9123 0.1934  1 H 1.79
Li 0.3693 0.0828 0.8024  1 H 1.79
Li 0.1314 0.6923 0.5835  1 H 1.79
Li 0.9109 0.3020 0.4129  1 H 1.79
Sn 0.5427 0.4974 0.9983  12 Li 2.87-3.12
H 0.7936 0.9970 0.4983  4 Li 1.79

V ... 15.16 A^3/atom
Final energy ... -2.853 eV/atom
M_tot ... 0.0 μB per cell

---

# 13
VASP calculation (PBE) on crystalline LiNiOs at its relaxed geometry.

Cell lengths 6.1620, 6.1620, 6.1620 Å; angles 155.67, 155.67, 34.68 degrees
With the nearest neighbours (Å) after each atom.
Element x y z (fractional)
Li 0.9963 0.9963 0.0000  4 Li 2.60, 4 Ni 2.72, 4 Os 2.82
Ni 0.3252 0.3252 0.0000  4 Os 2.52, 4 Ni 2.60, 4 Li 2.72
Os 0.6785 0.6785 0.0000  4 Ni 2.52, 4 Os 2.60

V ... 13.23 A^3/atom
Final energy ... -6.101 eV/atom
Formation energy ... 0.21 eV/atom
Energy above the most stable polymorph in this dataset ... 25.0 meV/atom
M_tot ... 0.0 μB per cell

---

# 14
VASP calculation (PBE) on crystalline TlAg2Te4As at its relaxed geometry.

Cell lengths 7.5461, 6.9551, 6.9551 Å; angles 77.69, 57.15, 57.15 degrees
With the nearest neighbours (Å) after each atom.
Element x y z (fractional)
Tl 0.0000 0.0000 0.0000  8 Te 3.51-3.66
Ag 0.5000 0.6767 0.3233  2 Te 2.74
Ag 0.5000 0.3233 0.6767  2 Te 2.74
Te 0.5909 0.5393 0.8706  1 As 2.65, 1 Ag 2.74
Te 0.4091 0.1294 0.4607  1 As 2.65, 1 Ag 2.74
Te 0.0008 0.4607 0.1294  1 As 2.65, 1 Ag 2.74
Te 0.9992 0.8706 0.5393  1 As 2.65, 1 Ag 2.74
As 0.0000 0.5000 0.5000  4 Te 2.65

V ... 31.99 A^3/atom
Energy relative to the elements, uncorrected ... -0.017 eV per atom
Final energy ... -3.178 eV/atom
M_tot ... 0.0 μB per cell